DFT (meta-GGA SCAN) results for SmGaPd2 at its PBEsol-relaxed geometry.

Structure (CIF):
```
data_SmGaPd2
_cell_length_a 7.364
_cell_length_b 7.061
_cell_length_c 5.589
_cell_angle_alpha 90.00
_cell_angle_beta 90.00
_cell_angle_gamma 90.00
_symmetry_space_group_name_H-M 'P n m a'
_symmetry_Int_Tables_number 62
_symmetry_space_group_name_Hall '-P 2ac 2n'
loop_
_atom_site_label
_atom_site_type_symbol
_atom_site_fract_x
_atom_site_fract_y
_atom_site_fract_z
Sm1 Sm 0.032 0.250 0.144
Ga1 Ga 0.117 0.750 0.354
Pd1 Pd 0.180 0.052 0.588
```

Properties
Total magnetic moment in μB per atom: 0.000



DFT (meta-GGA SCAN) results for KYSn at its PBEsol-relaxed geometry.

Structure (CIF):
```
data_KYSn
_cell_length_a 7.366
_cell_length_b 7.366
_cell_length_c 7.366
_cell_angle_alpha 90.00
_cell_angle_beta 90.00
_cell_angle_gamma 90.00
_symmetry_space_group_name_H-M 'F -4 3 m'
_symmetry_Int_Tables_number 216
_symmetry_space_group_name_Hall 'F -4 2 3'
loop_
_atom_site_label
_atom_site_type_symbol
_atom_site_fract_x
_atom_site_fract_y
_atom_site_fract_z
K1 K 0.000 0.000 0.000
Y1 Y 0.250 0.250 0.750
Sn1 Sn 0.000 0.000 0.500
```

Properties
Total magnetic moment in μB per atom: 0.000



Q: Which ΔE_f values were calculated for the entries above? A: -0.96; 0.00, in eV/atom.